The following is a DFT calculation (PBE) of NiMoRh2 after structural relaxation.

Results
* calculated density: 10.60 g cm⁻³
* crystal system: tetragonal
* E_form: 0.06 eV per atom
* total DFT energy (no corrections): -31.1 eV per formula unit

abc: 3.1860 3.1860 5.5631
angles: 90.00 90.00 90.00
Last column: nearest neighbours and their distance in Å.
Fractional positions:
Mo (0.0000, 0.0000, 0.5199)  5 Rh 2.51-2.65, 4 Ni 2.57
Ni (0.5000, 0.5000, 0.7413)  4 Mo 2.57, 5 Rh 2.59-2.63
Rh (0.0000, 0.0000, 0.9705)  1 Mo 2.51, 4 Ni 2.59, 4 Rh 2.80
Rh (0.5000, 0.5000, 0.2683)  2 Ni 2.63-2.93, 4 Mo 2.65, 4 Rh 2.80